This record from the Alexandria database describes crystalline BaNiGeO4 at its relaxed geometry. The functional is GGA+U.

a = 8.3197 Å, b = 8.3197 Å, c = 8.3197 Å
α = 90.00°, β = 90.00°, γ = 90.00°
Space group F-43m (No. 216)
Symmetry-distinct sites (fractional):
Ba 0.0000 0.0000 0.0000
Ni 0.2500 0.2500 0.2500
Ge 0.0000 0.0000 0.5000
O 0.1216 0.1216 0.3784

Output
V = 20.57 Å³/atom
total magnetization = 2.01 μB/f.u.
VASP energy = -38.966 eV per formula unit